(1)
Here is a relaxed TcS2ClO crystal from Alexandria via LeMat-Bulk. Energies are from PBE-GGA.

abc: 3.907 3.907 5.650
angles: 90.00 90.00 90.00
Fractional coordinates of all 5 atoms:
Tc 0.000 0.000 0.000
S 0.000 0.500 0.500
S 0.500 0.000 0.500
Cl 0.500 0.500 0.000
O 0.500 0.500 0.500

Results
DFT total energy ... -4.233 eV per atom
Crystal system ... tetragonal
Energy above the lowest structure with this stoichiometry ... 0.821 eV per formula unit
E_form (uncorrected) ... 0.8519 eV per atom
Space-group type ... P4/mmm (123)



(2)
Here is a relaxed TcS2ClO crystal from Alexandria via LeMat-Bulk. Energies are from PBE-GGA.

abc: 4.528 4.528 4.739
angles: 90.00 90.00 90.00
Fractional coordinates of all 5 atoms:
Tc 0.000 0.000 0.000
S 0.000 0.500 0.000
S 0.500 0.000 0.000
Cl 0.000 0.000 0.500
O 0.500 0.500 0.500

Results
DFT total energy ... -4.397 eV per atom
Crystal system ... tetragonal
Energy above the lowest structure with this stoichiometry ... 0.000 eV per formula unit
E_form (uncorrected) ... 0.6878 eV per atom
Space-group type ... P4/mmm (123)



(3)
Here is a relaxed TcSCl2O crystal from Alexandria via LeMat-Bulk. Energies are from PBE-GGA.

abc: 4.546 4.546 4.269
angles: 90.00 90.00 90.00
Fractional coordinates of all 5 atoms:
Tc 0.000 0.000 0.000
S 0.500 0.500 0.000
Cl 0.000 0.500 0.500
Cl 0.500 0.000 0.500
O 0.500 0.500 0.500

Results
DFT total energy ... -3.648 eV per atom
Crystal system ... tetragonal
Energy above the lowest structure with this stoichiometry ... 2.181 eV per formula unit
E_form (uncorrected) ... 0.9809 eV per atom
Space-group type ... P4/mmm (123)